Crystalline CoP2SF at its relaxed geometry, computed with PBE+U.

Geometry as CIF:
```
data_CoP2SF
_cell_length_a 4.3158
_cell_length_b 4.3158
_cell_length_c 4.3541
_cell_angle_alpha 90.00
_cell_angle_beta 90.00
_cell_angle_gamma 90.00
_symmetry_space_group_name_H-M 'P 4/m m m'
_symmetry_Int_Tables_number 123
_symmetry_space_group_name_Hall '-P 4 2'
loop_
_atom_site_label
_atom_site_fract_x
_atom_site_fract_y
_atom_site_fract_z
Co1 0.0000 0.0000 0.0000
P1 0.0000 0.5000 0.0000
S1 0.0000 0.0000 0.5000
F1 0.5000 0.5000 0.5000
```

Calculated values
density	3.52	Mg/m³
VASP energy	-3.868	eV/atom